# 1
# GGA-PBEsol Nd3MoO7, relaxed
# Formation energy (no corrections), meV per atom: -3012
# Size of the total moment, μB/cell: 1.6
# V, Å³ per atom: 13.9
data_Nd3MoO7
_cell_length_a 7.530
_cell_length_b 7.544
_cell_length_c 10.798
_cell_angle_alpha 90.00
_cell_angle_beta 90.00
_cell_angle_gamma 90.00
_space_group_name_H-M_alt 'P 21 21 21'
_space_group_IT_number 19
_space_group_name_Hall 'P 2ac 2ab'
loop_
_atom_site_label
_atom_site_type_symbol
_atom_site_fract_x
_atom_site_fract_y
_atom_site_fract_z
Nd1 Nd 0.002 0.058 0.269
Nd2 Nd 0.004 0.543 0.782
Nd3 Nd 0.239 0.713 0.507
Mo1 Mo 0.247 0.754 0.999
O1 O 0.003 0.192 0.490
O2 O 0.005 0.790 0.368
O3 O 0.015 0.258 0.868
O4 O 0.202 0.883 0.854
O5 O 0.215 0.433 0.625
O6 O 0.215 0.461 0.379
O7 O 0.219 0.947 0.117

# 2
# GGA-PBEsol NdReMoO8, relaxed
# Formation energy (no corrections), meV per atom: -2221
# Size of the total moment, μB/cell: 0.0
# V, Å³ per atom: 17.0
data_NdReMoO8
_cell_length_a 6.207
_cell_length_b 9.884
_cell_length_c 13.087
_cell_angle_alpha 90.00
_cell_angle_beta 111.32
_cell_angle_gamma 90.00
_space_group_name_H-M_alt 'P 1 21/c 1'
_space_group_IT_number 14
_space_group_name_Hall '-P 2ybc'
loop_
_atom_site_label
_atom_site_type_symbol
_atom_site_fract_x
_atom_site_fract_y
_atom_site_fract_z
Nd1 Nd 0.184 0.238 0.376
Re1 Re 0.370 0.009 0.154
Mo1 Mo 0.154 0.663 0.920
O1 O 0.049 0.177 0.515
O2 O 0.075 0.726 0.307
O3 O 0.149 0.603 0.649
O4 O 0.157 0.003 0.373
O5 O 0.306 0.079 0.024
O6 O 0.367 0.078 0.808
O7 O 0.392 0.136 0.249
O8 O 0.429 0.708 0.014

no.,total DFT energy (no corrections) (eV per atom)
1,-8.832
2,-8.791